No. 1
A plane-wave DFT calculation with PBE-GGA was carried out for LiIn4Ga2 after structural relaxation.

The structure in POSCAR format:
```
LiIn4Ga2
1.0
8.4846 -0.0154 2.3867
4.2540 7.2661 1.1926
0.4853 -0.0010 5.4447
Li In Ga
2 8 4
Direct
0.9855 0.9505 0.1453 Li
0.6867 0.5494 0.6459 Li
0.8501 0.1294 0.6769 In
0.6263 0.7960 0.1309 In
0.7295 0.3713 0.1770 In
0.3535 0.9284 0.7099 In
0.0321 0.5711 0.2096 In
0.1926 0.1289 0.2385 In
0.0724 0.3707 0.7381 In
0.1710 0.7054 0.6306 In
0.7441 0.8681 0.5877 Ga
0.4870 0.2202 0.5106 Ga
0.4572 0.2791 0.0110 Ga
0.3620 0.6315 0.0879 Ga
```

Calculated values
Calculated volume: 327.6 Å³/cell
Magnetization: 0.0 μB/cell

---

No. 2
A plane-wave DFT calculation with PBE-GGA was carried out for AgMoP2 after structural relaxation.

The structure in POSCAR format:
```
AgMoP2
1.0
6.7105 -0.0059 -0.0346
6.0134 2.9784 -0.0346
0.0280 0.0065 3.5275
P Ag Mo
2 1 1
Direct
0.9412 0.9412 0.1239 P
0.7269 0.7269 0.6271 P
0.5326 0.5326 0.6228 Ag
0.2993 0.2993 0.1262 Mo
```

Calculated values
Calculated volume: 70.6 Å³/cell
Magnetization: 0.0 μB/cell
Energy relative to the lowest polymorph listed for this composition: 0.0597 eV per atom

---

no.,formation energy (eV/atom)
1,-0.04
2,0.00